[1]
5
Lattice="-4.215 -2.460 -1.888 3.032 -3.938 -1.637 -0.651 -2.413 4.597" Properties=species:S:1:pos:R:3 comment="PrTm3Fe PBE relaxed" formation_enthalpy_0k_mev_per_atom=61 dft_energy_ha_per_atom=-0.1937 pbc="T T T"
Pr -0.917 -4.405 0.536
Tm 1.516 -1.969 -0.819
Tm -2.107 -1.230 -0.944
Tm -0.325 -1.206 2.299
Fe 0.000 0.000 0.000

***

[2]
20
Lattice="-5.324 -4.051 14.367 -4.609 -7.082 3.418 6.275 -3.301 -5.728" Properties=species:S:1:pos:R:3 comment="La3RuAu PBE relaxed" formation_enthalpy_0k_mev_per_atom=-413 e_above_lowest_polymorph_mev_per_atom=74 dft_energy_ha_per_atom=-0.2161 pbc="T T T"
La -3.361 -6.065 9.210
La -6.159 -10.181 13.795
La -1.501 -5.721 4.741
La -0.296 -8.369 2.847
La 1.784 -5.258 2.263
La -5.442 -9.176 9.794
La -4.651 -4.707 12.601
La 0.993 -9.727 -0.544
La -0.904 -2.765 2.310
La -2.157 -8.713 7.315
La -2.754 -11.669 9.747
La 2.501 -4.253 -1.738
Ru 1.590 -6.919 4.396
Ru -5.248 -7.515 7.661
Ru -1.373 -5.642 2.039
Ru -2.285 -8.792 10.018
Au -2.942 -8.874 4.339
Au -6.149 -7.507 12.278
Au -0.716 -5.560 7.717
Au 2.491 -6.927 -0.221

***

[3]
5
Lattice="4.173 0.000 0.000 0.000 5.048 0.000 0.000 0.000 4.173" Properties=species:S:1:pos:R:3 comment="CaBeBPt2 PBE relaxed" formation_enthalpy_0k_mev_per_atom=532 dft_energy_ha_per_atom=-0.1604 pbc="T T T"
Pt 2.086 0.000 0.000
Pt 0.000 0.000 2.086
B 2.086 2.524 2.086
Ca 0.000 2.524 0.000
Be 0.000 0.000 0.000

***

[4]
4
Lattice="-2.783 1.825 -3.722 7.442 -2.007 -6.560 -3.295 -2.187 4.748" Properties=species:S:1:pos:R:3 comment="ErTh PBE relaxed" formation_enthalpy_0k_mev_per_atom=52 e_above_lowest_polymorph_mev_per_atom=45 dft_energy_ha_per_atom=-0.2183 pbc="T T T"
Er -1.156 1.117 -3.612
Er 2.520 -3.486 -1.922
Th 2.091 -0.297 -3.386
Th -0.727 -2.072 -2.148

***

[5]
4
Lattice="4.128 0.000 0.000 0.000 4.128 0.000 0.000 0.000 6.225" Properties=species:S:1:pos:R:3 comment="LaSiSb2 PBE relaxed" dft_energy_ha_per_atom=-0.1826 pbc="T T T"
Sb 0.000 0.000 0.114
Sb 0.000 0.000 2.999
Si 2.064 2.064 1.556
La 2.064 2.064 4.669

***

[6]
8
Lattice="-1.919 2.877 -1.128 -2.035 -2.176 -2.087 -7.658 -0.799 5.129" Properties=species:S:1:pos:R:3 comment="Cr2AgP PBE relaxed" formation_enthalpy_0k_mev_per_atom=631 dft_energy_ha_per_atom=-0.2295 pbc="T T T"
P -1.977 0.350 -1.607
P -5.835 -1.312 0.717
Cr -3.223 1.108 0.402
Cr -7.381 -0.502 2.483
Cr -9.049 0.179 1.192
Cr -3.572 -0.982 -0.249
Ag -5.777 1.214 1.197
Ag 0.000 0.000 0.000

***

[7]
24
Lattice="9.007 0.379 -1.486 7.380 5.178 -1.486 -0.002 -0.001 5.940" Properties=species:S:1:pos:R:3 comment="Na8B13C3 PBE relaxed" formation_enthalpy_0k_mev_per_atom=211 e_above_lowest_polymorph_mev_per_atom=30 dft_energy_ha_per_atom=-0.1837 pbc="T T T"
B 9.708 5.069 2.958
B 6.660 0.561 2.955
B 9.694 5.065 0.010
B 9.998 4.190 1.484
B 6.467 1.148 1.391
B 5.848 2.960 1.499
B 10.537 2.605 -1.486
B 9.964 4.293 -1.486
B 10.760 1.957 2.892
B 5.599 3.696 -0.057
B 6.411 1.295 4.512
B 5.644 3.544 3.063
B 10.752 1.954 0.077
Na 4.079 1.390 2.967
Na 8.188 2.775 -0.003
Na 4.099 1.382 0.000
Na 9.019 0.390 1.487
Na 8.198 2.782 2.968
Na 7.381 5.170 4.454
Na 12.296 4.168 2.971
Na 12.284 4.168 0.000
C 6.677 0.532 -0.042
C 10.519 2.653 1.484
C 5.852 2.928 4.496

***

[8]
16
Lattice="-0.118 4.692 3.929 0.901 -2.095 7.296 11.053 3.497 0.923" Properties=species:S:1:pos:R:3 comment="Cs2InRhO4 PBE relaxed" dft_energy_ha_per_atom=-0.1826 pbc="T T T"
In 0.000 0.000 0.000
In 5.888 4.220 7.057
Cs 1.871 3.804 7.433
Cs 7.036 3.081 1.300
Cs 9.906 4.637 6.680
Cs 3.900 5.108 3.553
O 11.430 5.668 10.109
O 0.940 0.028 7.300
O 10.951 3.872 3.011
O 0.350 2.622 3.878
O 6.294 4.647 9.096
O 5.849 2.098 7.053
O 5.990 3.846 4.969
O 5.538 1.598 3.179
Rh 5.947 1.874 5.092
Rh -0.059 2.346 1.964

***

[9]
10
Lattice="3.385 0.000 0.000 0.000 3.385 0.000 0.000 0.000 18.679" Properties=species:S:1:pos:R:3 comment="Li4PaSn5 PBE relaxed" formation_enthalpy_0k_mev_per_atom=-292 dft_energy_ha_per_atom=-0.1473 pbc="T T T"
Sn 1.692 1.692 9.339
Sn 1.692 1.692 2.244
Sn 1.692 1.692 12.930
Sn 1.692 1.692 16.434
Sn 1.692 1.692 5.748
Li 0.000 0.000 7.548
Li 0.000 0.000 4.011
Li 0.000 0.000 11.131
Li 0.000 0.000 14.668
Pa 0.000 0.000 0.000

***

[10]
14
Lattice="9.535 0.000 0.000 0.000 4.956 -2.293 0.000 -0.374 5.694" Properties=species:S:1:pos:R:3 comment="Tm2Pd4Pt PBE relaxed" formation_enthalpy_0k_mev_per_atom=-612 dft_energy_ha_per_atom=-0.2102 pbc="T T T"
Pt 4.768 2.478 -1.147
Pt 0.000 0.000 0.000
Tm 4.768 3.926 1.984
Tm 4.768 0.656 1.417
Tm 0.000 3.133 0.270
Tm 0.000 1.449 3.131
Pd 2.384 1.840 1.909
Pd 6.956 0.748 -0.346
Pd 2.384 4.318 0.763
Pd 7.152 0.264 2.638
Pd 7.152 2.742 1.492
Pd 2.580 4.208 -1.947
Pd 2.188 1.730 -0.800
Pd 7.348 3.226 -1.493

***

[11]
5
Lattice="4.669 0.000 0.000 0.000 4.756 0.000 0.000 0.000 4.669" Properties=species:S:1:pos:R:3 comment="ZrFeTePt2 PBE relaxed" dft_energy_ha_per_atom=-0.2253 pbc="T T T"
Te 0.000 2.378 0.000
Fe 0.000 0.000 0.000
Zr 2.335 2.378 2.335
Pt 2.335 0.000 0.000
Pt 0.000 0.000 2.335

***

[12]
7
Lattice="4.289 0.000 0.000 0.000 4.289 0.000 2.145 2.145 6.559" Properties=species:S:1:pos:R:3 comment="Sc2Ni4Ge PBE relaxed" formation_enthalpy_0k_mev_per_atom=90 dft_energy_ha_per_atom=-0.2088 pbc="T T T"
Ni 2.145 2.145 4.248
Ni 4.289 4.289 2.311
Ni 0.000 2.145 0.000
Ni 2.145 0.000 0.000
Sc 4.289 4.289 4.759
Sc 2.145 2.145 1.801
Ge 0.000 0.000 0.000